No. 1
# SrCu2Ni | the Alexandria database | GGA-PBEsol | optimized geometry
data_SrCu2Ni
_chemical_formula_sum 'Sr2 Cu4 Ni2'
_cell_length_a 7.114
_cell_length_b 4.107
_cell_length_c 5.606
_cell_angle_alpha 90.00
_cell_angle_beta 115.22
_cell_angle_gamma 90.00
_symmetry_space_group_name_H-M 'C 1 m 1'
_symmetry_Int_Tables_number 8
_symmetry_space_group_name_Hall 'C -2y'
loop_
_atom_site_label
_atom_site_type_symbol
_atom_site_fract_x
_atom_site_fract_y
_atom_site_fract_z
_atom_site_occupancy
Sr1 Sr 0.000 0.000 0.000 1
Cu1 Cu 0.004 0.500 0.510 1
Cu2 Cu 0.312 0.500 0.435 1
Ni1 Ni 0.188 0.000 0.562 1
# * E_form: -0.03 eV/atom
# * E: -4.20 eV/atom

***

No. 2
# Li2HfSb2 | the Alexandria database | GGA-PBEsol | optimized geometry
data_Li2HfSb2
_chemical_formula_sum 'Li4 Hf2 Sb4'
_cell_length_a 7.897
_cell_length_b 7.897
_cell_length_c 3.229
_cell_angle_alpha 90.00
_cell_angle_beta 90.00
_cell_angle_gamma 90.00
_symmetry_space_group_name_H-M 'P 4/m b m'
_symmetry_Int_Tables_number 127
_symmetry_space_group_name_Hall '-P 4 2ab'
loop_
_atom_site_label
_atom_site_type_symbol
_atom_site_fract_x
_atom_site_fract_y
_atom_site_fract_z
_atom_site_occupancy
Li1 Li 0.126 0.374 0.000 1
Hf1 Hf 0.000 0.000 0.500 1
Sb1 Sb 0.174 0.674 0.500 1
# * E_form (uncorrected): -33.24 kJ per mole of atoms
# * E: -5.05 eV/atom

***

No. 3
# CdFe2Cl | the Alexandria database | GGA-PBEsol | optimized geometry
data_CdFe2Cl
_chemical_formula_sum 'Cd1 Fe2 Cl1'
_cell_length_a 2.857
_cell_length_b 2.857
_cell_length_c 7.136
_cell_angle_alpha 90.00
_cell_angle_beta 90.00
_cell_angle_gamma 90.00
_symmetry_space_group_name_H-M 'P 4/m m m'
_symmetry_Int_Tables_number 123
_symmetry_space_group_name_Hall '-P 4 2'
loop_
_atom_site_label
_atom_site_type_symbol
_atom_site_fract_x
_atom_site_fract_y
_atom_site_fract_z
_atom_site_occupancy
Cd1 Cd 0.000 0.000 0.000 1
Fe1 Fe 0.500 0.500 0.278 1
Cl1 Cl 0.000 0.000 0.500 1
# * E_form (uncorrected): 41.03 kJ per mole of atoms
# * energy above the lowest structure with this stoichiometry: 0.103 eV/atom
# * E: -4.86 eV/atom